The following is a DFT calculation (PBE) of a relaxed Tl2CdCuF6 crystal.

a = 5.984 Å, b = 5.984 Å, c = 9.220 Å
α = 90.00°, β = 90.00°, γ = 90.00°
Space group I4/mmm (No. 139)
Asymmetric unit:
Tl (0.000, 0.500, 0.250)
Cd (0.000, 0.000, 0.000)
Cu (0.000, 0.000, 0.500)
F (0.000, 0.000, 0.238)
F (0.229, 0.229, 0.500)

energy relative to the elements, uncorrected = -1.84 eV per atom
E_tot = -3.937 eV per atom